# MnTlSF2 | Alexandria via LeMat-Bulk | PBE with a Hubbard U | optimized geometry
data_MnTlSF2
_cell_length_a 4.134
_cell_length_b 4.134
_cell_length_c 5.322
_cell_angle_alpha 90.00
_cell_angle_beta 90.00
_cell_angle_gamma 90.00
_symmetry_space_group_name_H-M 'P 4/m m m'
_symmetry_Int_Tables_number 123
_symmetry_space_group_name_Hall '-P 4 2'
loop_
_atom_site_label
_atom_site_type_symbol
_atom_site_fract_x
_atom_site_fract_y
_atom_site_fract_z
Mn1 Mn 0.000 0.000 0.000
Tl1 Tl 0.500 0.500 0.500
S1 S 0.000 0.000 0.500
F1 F 0.000 0.500 0.000
# * DFT total energy: -5.13 eV per atom
# * V: 91 Å³/cell
# * magnetic moment: 4.8 μB/f.u.